[1]
TlICl2 (meta-GGA SCAN, single point on PBEsol structure); electronic total energy = -124.74 eV per formula unit; magnetization = 0.000 μB/atom; energy relative to the elements, uncorrected = 0.32 eV per formula unit; energy relative to the lowest polymorph listed for this composition = 691.1 meV per atom; D(E_F) = 13.0 states/eV per cell
1.0
3.5146 0.0000 0.0000
-1.7573 3.0438 0.0000
0.0000 0.0000 30.8264
Tl I Cl
3 3 6
Direct
0.0000 0.0000 0.0000
0.3333 0.6667 0.6667
0.6667 0.3333 0.3333
0.0000 0.0000 0.5000
0.3333 0.6667 0.1667
0.6667 0.3333 0.8333
0.0000 0.0000 0.0823
0.0000 0.0000 0.9177
0.3333 0.6667 0.5843
0.3333 0.6667 0.7490
0.6667 0.3333 0.2510
0.6667 0.3333 0.4157

[2]
WICl2 (meta-GGA SCAN, single point on PBEsol structure); electronic total energy = -117.09 eV per formula unit; magnetization = 0.750 μB/atom; energy relative to the elements, uncorrected = 5.30 eV per formula unit; D(E_F) = 9.7 states/eV per cell
1.0
6.9209 0.0000 0.0000
0.0000 6.9209 0.0000
0.0000 0.0000 6.9209
W I Cl
4 4 8
Direct
0.0000 0.0000 0.0000
0.0000 0.5000 0.5000
0.5000 0.0000 0.5000
0.5000 0.5000 0.0000
0.0000 0.0000 0.5000
0.0000 0.5000 0.0000
0.5000 0.0000 0.0000
0.5000 0.5000 0.5000
0.2500 0.2500 0.2500
0.2500 0.2500 0.7500
0.2500 0.7500 0.2500
0.2500 0.7500 0.7500
0.7500 0.2500 0.2500
0.7500 0.2500 0.7500
0.7500 0.7500 0.2500
0.7500 0.7500 0.7500

[3]
WI3Cl (meta-GGA SCAN, single point on PBEsol structure); electronic total energy = -179.38 eV per formula unit; magnetization = 0.962 μB/atom; energy relative to the elements, uncorrected = 8.51 eV per formula unit; D(E_F) = 9.3 states/eV per cell
1.0
5.5203 0.0000 0.0000
0.0000 5.5203 0.0000
0.0000 0.0000 5.5203
W I Cl
1 3 1
Direct
0.0000 0.0000 0.0000
0.0000 0.5000 0.5000
0.5000 0.0000 0.5000
0.5000 0.5000 0.0000
0.5000 0.5000 0.5000

[4]
Y2ICl (meta-GGA SCAN, single point on PBEsol structure); electronic total energy = -103.81 eV per formula unit; magnetization = 0.000 μB/atom; energy relative to the elements, uncorrected = -3.41 eV per formula unit; D(E_F) = 13.7 states/eV per cell
1.0
4.9674 0.0000 0.0000
0.0000 4.9674 0.0000
0.0000 0.0000 19.1171
Y I Cl
8 4 4
Direct
0.2319 0.2500 0.1250
0.2500 0.7319 0.3750
0.2500 0.7681 0.8750
0.2681 0.2500 0.6250
0.7319 0.7500 0.6250
0.7500 0.2319 0.8750
0.7500 0.2681 0.3750
0.7681 0.7500 0.1250
0.0000 0.0000 0.5000
0.0000 0.5000 0.7500
0.5000 0.0000 0.2500
0.5000 0.5000 0.0000
0.0000 0.0000 0.0000
0.0000 0.5000 0.2500
0.5000 0.0000 0.7500
0.5000 0.5000 0.5000

[5]
ZrICl3 (meta-GGA SCAN, single point on PBEsol structure); electronic total energy = -97.47 eV per formula unit; magnetization = 0.083 μB/atom; energy relative to the elements, uncorrected = -6.09 eV per formula unit; D(E_F) = 6.4 states/eV per cell
1.0
5.0143 0.0000 0.0000
0.0000 5.0143 0.0000
0.0000 0.0000 5.0143
Zr I Cl
1 1 3
Direct
0.0000 0.0000 0.0000
0.5000 0.5000 0.5000
0.0000 0.0000 0.5000
0.0000 0.5000 0.0000
0.5000 0.0000 0.0000

[6]
InCl2 (meta-GGA SCAN, single point on PBEsol structure); electronic total energy = -52.11 eV per formula unit; magnetization = 0.000 μB/atom; energy relative to the elements, uncorrected = -2.77 eV per formula unit; D(E_F) = 3.6 states/eV per cell
1.0
3.9892 0.0000 0.0000
0.0000 17.9705 0.0000
0.0000 0.0000 5.2020
In Cl
4 8
Direct
0.0000 0.1686 0.2500
0.0000 0.8314 0.7500
0.5000 0.3314 0.7500
0.5000 0.6686 0.2500
0.0000 0.1950 0.7500
0.0000 0.4228 0.7500
0.0000 0.5772 0.2500
0.0000 0.8050 0.2500
0.5000 0.0772 0.2500
0.5000 0.3050 0.2500
0.5000 0.6950 0.7500
0.5000 0.9228 0.7500

Number 1: volume 329.8 Å³/cell. Number 2: volume 331.5 Å³/cell. Number 3: volume 168.2 Å³/cell. Number 4: volume 471.7 Å³/cell. Number 5: volume 126.1 Å³/cell. Number 6: volume 372.9 Å³/cell.